Entry 1:
DFT (GGA-PBE) results for a geometry-optimized PrTm2Al3 structure.

a = 5.963 Å, b = 9.940 Å, c = 7.777 Å
α = 129.72°, β = 112.54°, γ = 90.00°
Atoms (fractional coordinates):
Tm1 0.834 0.584 0.168
Tm2 0.166 0.916 0.832
Tm3 0.166 0.416 0.832
Tm4 0.834 0.084 0.168
Al1 0.000 0.250 0.000
Al2 0.500 0.750 0.000
Al3 0.000 0.000 0.500
Al4 0.000 0.750 0.000
Al5 0.500 0.250 0.000
Al6 0.000 0.500 0.500
Pr1 0.500 0.250 0.500
Pr2 0.500 0.750 0.500

## Properties
Formation energy from the elements = -187 meV per atom
Density = 6.0 g cm⁻³
Magnetization = 0.00 μB/f.u.
Energy above the lowest structure with this stoichiometry = 187 meV/atom
DOS at the Fermi energy = 0.93 states/eV/atom
Symmetry = Cmmm (65)



Entry 2:
DFT (GGA-PBE) results for a geometry-optimized La8Tb3Dy2 structure.

a = 6.169 Å, b = 11.857 Å, c = 9.039 Å
α = 130.99°, β = 72.98°, γ = 90.00°
Atoms (fractional coordinates):
La1 0.651 0.077 0.675
La2 0.349 0.923 0.325
La3 0.263 0.585 0.170
La4 0.737 0.415 0.830
La5 0.889 0.139 0.278
La6 0.111 0.861 0.722
La7 0.349 0.401 0.325
La8 0.651 0.599 0.675
Tb1 0.500 0.000 0.000
Tb2 0.000 0.727 0.000
Tb3 0.000 0.273 0.000
Dy1 0.322 0.312 0.625
Dy2 0.678 0.688 0.375

## Properties
Formation energy from the elements = 144 meV per atom
Density = 6.9 g cm⁻³
Magnetization = 0.00 μB/f.u.
Energy above the lowest structure with this stoichiometry = 0 meV/atom
DOS at the Fermi energy = 1.66 states/eV/atom
Symmetry = C2/m (12)



Look up the energy above the lowest structure with this stoichiometry of the first one. 187 meV/atom



What is the formula in the first record? PrTm2Al3